Record 1
5
Lattice="4.674 0.000 0.000 0.000 4.674 0.000 0.000 0.000 4.674" Properties=species:S:1:pos:R:3 comment="AgRhS3 (PBE, relaxed)" sg="No. 221" polymorph_energy_mev_per_atom=0 pbc="T T T"
Ag 0.000 0.000 0.000
Rh 2.337 2.337 2.337
S 0.000 2.337 2.337
S 2.337 0.000 2.337
S 2.337 2.337 0.000

***

Record 2
32
Lattice="5.554 -5.115 0.000 5.554 5.115 0.000 -4.829 0.000 10.681" Properties=species:S:1:pos:R:3 comment="AgRhS2 (PBE, relaxed)" sg="No. 15" pbc="T T T"
Ag 0.800 2.866 9.406
Ag -1.511 0.489 9.691
Ag 3.066 2.866 6.615
Ag 0.903 -0.489 4.350
Ag 5.377 0.489 6.331
Ag 3.214 -2.866 4.065
Ag 7.792 -0.489 0.990
Ag 5.480 -2.866 1.275
Rh 2.782 3.460 3.774
Rh 5.913 3.460 1.566
Rh 2.970 0.881 2.755
Rh 0.556 -0.881 8.095
Rh 5.724 0.881 2.585
Rh 3.310 -0.881 7.926
Rh 0.367 -3.460 9.115
Rh 3.499 -3.460 6.906
S 4.347 4.796 2.670
S 1.117 1.961 3.681
S 1.535 0.218 0.979
S -0.879 -0.218 6.319
S 4.285 1.859 0.969
S 4.409 1.859 4.371
S 1.933 1.054 8.011
S -1.297 -1.961 9.021
S 7.577 1.961 1.660
S 4.347 -1.054 2.670
S 1.871 -1.859 6.310
S 1.995 -1.859 9.712
S 7.159 0.218 4.362
S 4.745 -0.218 9.702
S 5.163 -1.961 7.000
S 1.933 -4.796 8.011

***

Record 3
16
Lattice="5.110 0.000 0.000 0.000 5.735 0.000 -1.045 0.000 11.682" Properties=species:S:1:pos:R:3 comment="AgRhS2 (PBE, relaxed)" sg="No. 14" pbc="T T T"
Ag -0.090 1.399 5.315
Ag -0.613 1.468 11.156
Ag 4.678 4.267 0.526
Ag 4.155 4.336 6.367
Rh -0.781 0.047 8.752
Rh -0.259 2.820 2.911
Rh 4.324 2.915 8.771
Rh 4.846 5.688 2.930
S 1.211 1.379 1.822
S 0.688 1.488 7.663
S 1.106 4.249 4.147
S 0.583 4.354 9.988
S 3.482 1.381 1.694
S 2.959 1.487 7.535
S 3.377 4.247 4.019
S 2.854 4.356 9.860

***

Record 4
14
Lattice="0.000 5.008 5.008 5.008 0.000 5.008 5.008 5.008 0.000" Properties=species:S:1:pos:R:3 comment="AgRh5S8 (PBE, relaxed)" sg="No. 216" pbc="T T T"
Ag 0.000 0.000 0.000
Rh 3.749 3.749 3.749
Rh 6.268 6.268 3.749
Rh 6.268 3.749 6.268
Rh 7.512 7.512 7.512
Rh 3.749 6.268 6.268
S 1.407 1.407 1.407
S 3.601 3.601 1.407
S 3.601 1.407 3.601
S 6.170 3.847 3.847
S 1.407 3.601 3.601
S 3.847 6.170 3.847
S 3.847 3.847 6.170
S 6.170 6.170 6.170

***

Record 5
8
Lattice="-2.498 2.498 5.615 2.498 -2.498 5.615 2.498 2.498 -5.615" Properties=species:S:1:pos:R:3 comment="AgRhS2 (PBE, relaxed)" sg="No. 141" pbc="T T T"
Ag 2.498 1.249 1.404
Ag 0.000 1.249 4.211
Rh 2.498 -1.249 4.211
Rh 0.000 3.747 1.404
S 2.498 1.249 -1.834
S 0.000 1.249 0.973
S 2.498 1.249 4.642
S 0.000 1.249 7.450

***

Record 6
8
Lattice="1.531 -10.837 0.000 1.531 10.837 0.000 0.000 0.000 4.260" Properties=species:S:1:pos:R:3 comment="AgRhS2 (PBE, relaxed)" sg="No. 63" pbc="T T T"
Ag 1.531 9.923 3.195
Ag 1.531 -9.923 1.065
Rh 1.531 4.021 3.195
Rh 1.531 -4.021 1.065
S 1.531 8.623 1.065
S 1.531 6.370 3.195
S 1.531 -6.370 1.065
S 1.531 -8.623 3.195

***

Record 7
5
Lattice="4.750 0.000 0.000 0.000 4.750 0.000 0.000 0.000 5.065" Properties=species:S:1:pos:R:3 comment="AgSnRhS2 (PBE, relaxed)" sg="No. 123" pbc="T T T"
Ag 0.000 0.000 0.000
Sn 2.375 2.375 2.532
Rh 0.000 0.000 2.532
S 0.000 2.375 0.000
S 2.375 0.000 0.000

***

Record 8
11
Lattice="3.005 -5.129 0.000 3.005 5.129 0.000 -2.825 0.000 6.984" Properties=species:S:1:pos:R:3 comment="TaAg2Rh2S6 (PBE, relaxed)" sg="No. 12" pbc="T T T"
Ta 0.000 0.000 0.000
Ag 1.592 1.936 3.492
Ag 1.592 -1.936 3.492
Rh 3.005 1.682 0.000
Rh 3.005 -1.682 0.000
S 1.979 3.344 1.360
S 1.206 3.344 5.624
S 1.991 0.000 1.498
S 1.194 0.000 5.486
S 1.979 -3.344 1.360
S 1.206 -3.344 5.624

***

Record 9
11
Lattice="2.892 -5.280 0.000 2.892 5.280 0.000 -2.027 0.000 7.015" Properties=species:S:1:pos:R:3 comment="Ta2Ag2RhS6 (PBE, relaxed)" sg="No. 12" pbc="T T T"
Ta 2.892 3.834 0.000
Ta 2.892 -3.834 0.000
Ag 1.878 2.083 3.508
Ag 1.878 -2.083 3.508
Rh 2.892 0.000 0.000
S -0.049 1.836 5.617
S 1.067 0.000 1.652
S -0.049 -1.836 5.617
S 3.806 1.836 1.398
S 2.689 0.000 5.364
S 3.806 -1.836 1.398

***

Record 10
11
Lattice="3.046 -5.034 0.000 3.046 5.034 0.000 -2.799 0.000 6.937" Properties=species:S:1:pos:R:3 comment="TiAg2Rh2S6 (PBE, relaxed)" sg="No. 12" pbc="T T T"
Ti 0.000 0.000 0.000
Ag 1.646 1.884 3.468
Ag 1.646 -1.884 3.468
Rh 3.046 1.692 0.000
Rh 3.046 -1.692 0.000
S 1.966 3.301 1.358
S 1.327 3.301 5.579
S 1.993 0.000 1.429
S 1.300 0.000 5.508
S 1.966 -3.301 1.358
S 1.327 -3.301 5.579

***

Record 11
11
Lattice="3.061 -5.269 0.000 3.061 5.269 0.000 -1.506 0.000 6.577" Properties=species:S:1:pos:R:3 comment="UAg2Rh2S6 (PBE, relaxed)" sg="No. 12" pbc="T T T"
U 0.000 0.000 0.000
Ag 2.308 3.797 3.288
Ag 2.308 -3.797 3.288
Rh 3.061 1.757 0.000
Rh 3.061 -1.757 0.000
S 1.113 1.936 1.435
S 0.724 0.000 5.143
S 1.113 -1.936 1.435
S 3.503 1.936 5.141
S 3.892 0.000 1.433
S 3.503 -1.936 5.141

***

Record 12
11
Lattice="2.848 -5.145 0.000 2.848 5.145 0.000 -1.683 0.000 7.285" Properties=species:S:1:pos:R:3 comment="V2Ag2RhS6 (PBE, relaxed)" sg="No. 12" pbc="T T T"
V 2.848 3.803 0.000
V 2.848 -3.803 0.000
Ag 2.007 1.669 3.642
Ag 2.007 -1.669 3.642
Rh 2.848 0.000 0.000
S -0.711 0.000 5.707
S 1.932 1.818 1.256
S 2.081 1.818 6.029
S 1.932 -1.818 1.256
S 2.081 -1.818 6.029
S 4.724 0.000 1.577

***

Results for formation energy without anion corrections: 0.524; -0.070; -0.054; -0.378; -0.086; 0.031; 0.777; -0.405; -0.538; -0.523; -0.629; -0.548 (in eV/atom, following the order of the records).